Li2FeF4: optimized geometry, GGA+U.

Lattice parameters (Å, degrees): 5.299 5.299 3.043 90.00 90.00 113.43
Element x y z (fractional)
F: 0.239 0.239 0.500
F: 0.761 0.761 0.500
F: 0.764 0.236 0.000
F: 0.236 0.764 0.000
Li: 0.000 0.500 0.500
Li: 0.500 0.000 0.500
Fe: 0.000 0.000 0.000

Results
Polymorph energy (0 for the lowest one) ... 48 kJ/mol of formula units
Fermi-level density of states ... 0.00 states/eV per cell
DFT total energy ... -5.0804 eV/atom